A relaxed structure of NiTeNO2. Source: Alexandria, functional PBE+U.

The structure in CIF format:
```
data_NiTeNO2
_symmetry_space_group_name_H-M 'P 1'
_symmetry_Int_Tables_number 1
_symmetry_space_group_name_Hall 'P 1'
_cell_length_a 3.7381
_cell_length_b 3.7381
_cell_length_c 3.9082
_cell_angle_alpha 90.00
_cell_angle_beta 90.00
_cell_angle_gamma 90.00
loop_
_atom_site_label
_atom_site_type_symbol
_atom_site_fract_x
_atom_site_fract_y
_atom_site_fract_z
O1 O 0.5000 0.0000 0.0000
O2 O 0.0000 0.5000 0.0000
Te1 Te 0.5000 0.5000 0.5000
Ni1 Ni 0.0000 0.0000 0.0000
N1 N 0.0000 0.0000 0.5000
```

Properties
Space group: P4/mmm (123)
Calculated total energy in eV per atom: -4.441
V in Å³/atom: 10.92